(1)
# Cr2CuTc (SCAN, PBEsol geometry)
# E_form in eV per atom: 0.174
# Density in g/cm³: 9.12
# Total moment in Bohr magnetons per cell: 0.0
# DOS at the Fermi energy in states/eV/cell: 4.51
data_Cr2CuTc
_chemical_formula_sum 'Cr4 Cu2 Tc2'
_symmetry_space_group_name_H-M 'C m m 2'
_symmetry_Int_Tables_number 35
_symmetry_space_group_name_Hall 'C 2 -2'
_cell_length_a 2.930
_cell_length_b 4.044
_cell_length_c 8.162
_cell_angle_alpha 90.00
_cell_angle_beta 90.00
_cell_angle_gamma 90.00
loop_
_atom_site_label
_atom_site_type_symbol
_atom_site_fract_x
_atom_site_fract_y
_atom_site_fract_z
Cr1 Cr 0.000 0.000 0.000
Cr2 Cr 0.000 0.500 0.229
Cu1 Cu 0.000 0.000 0.479
Tc1 Tc 0.000 0.500 0.746


(2)
# MoH2Pt (SCAN, PBEsol geometry)
# DFT total energy in eV/atom: -27.826
# Density in g/cm³: 13.16
# Total moment in Bohr magnetons per cell: 0.0
# DOS at the Fermi energy in states/eV/cell: 6.12
data_MoH2Pt
_chemical_formula_sum 'Mo4 H8 Pt4'
_symmetry_space_group_name_H-M 'I -4 2 d'
_symmetry_Int_Tables_number 122
_symmetry_space_group_name_Hall 'I -4 2bw'
_cell_length_a 4.180
_cell_length_b 4.180
_cell_length_c 8.466
_cell_angle_alpha 90.00
_cell_angle_beta 90.00
_cell_angle_gamma 90.00
loop_
_atom_site_label
_atom_site_type_symbol
_atom_site_fract_x
_atom_site_fract_y
_atom_site_fract_z
Mo1 Mo 0.000 0.000 0.000
H1 H 0.243 0.250 0.625
Pt1 Pt 0.000 0.000 0.500


(3)
# Ca2CrTe (SCAN, PBEsol geometry)
# Raw formation energy in eV per atom: -0.35
# Density in g/cm³: 4.05
# Total moment in Bohr magnetons per cell: 11.4
# DOS at the Fermi energy in states/eV/cell: 3.88
data_Ca2CrTe
_chemical_formula_sum 'Ca4 Cr2 Te2'
_symmetry_space_group_name_H-M 'I 4/m m m'
_symmetry_Int_Tables_number 139
_symmetry_space_group_name_Hall '-I 4 2'
_cell_length_a 4.932
_cell_length_b 4.932
_cell_length_c 8.763
_cell_angle_alpha 90.00
_cell_angle_beta 90.00
_cell_angle_gamma 90.00
loop_
_atom_site_label
_atom_site_type_symbol
_atom_site_fract_x
_atom_site_fract_y
_atom_site_fract_z
Ca1 Ca 0.000 0.500 0.250
Cr1 Cr 0.000 0.000 0.000
Te1 Te 0.000 0.000 0.500


(4)
# ScTlSb2Rh (SCAN, PBEsol geometry)
# Raw formation energy in eV per atom: 1.28
# Density in g/cm³: 6.50
# Total moment in Bohr magnetons per cell: 0.0
# DOS at the Fermi energy in states/eV/cell: 5.23
data_ScTlSb2Rh
_chemical_formula_sum 'Sc1 Tl1 Sb2 Rh1'
_symmetry_space_group_name_H-M 'P 4/m m m'
_symmetry_Int_Tables_number 123
_symmetry_space_group_name_Hall '-P 4 2'
_cell_length_a 5.407
_cell_length_b 5.407
_cell_length_c 5.206
_cell_angle_alpha 90.00
_cell_angle_beta 90.00
_cell_angle_gamma 90.00
loop_
_atom_site_label
_atom_site_type_symbol
_atom_site_fract_x
_atom_site_fract_y
_atom_site_fract_z
Sc1 Sc 0.000 0.000 0.000
Tl1 Tl 0.000 0.000 0.500
Sb1 Sb 0.000 0.500 0.500
Rh1 Rh 0.500 0.500 0.000


(5)
# Ta2SnPPb (SCAN, PBEsol geometry)
# E_form in eV per atom: 2.150
# Density in g/cm³: 9.09
# Total moment in Bohr magnetons per cell: 0.0
# DOS at the Fermi energy in states/eV/cell: 4.80
data_Ta2SnPPb
_chemical_formula_sum 'Ta2 Sn1 P1 Pb1'
_symmetry_space_group_name_H-M 'P 4/m m m'
_symmetry_Int_Tables_number 123
_symmetry_space_group_name_Hall '-P 4 2'
_cell_length_a 5.201
_cell_length_b 5.201
_cell_length_c 4.854
_cell_angle_alpha 90.00
_cell_angle_beta 90.00
_cell_angle_gamma 90.00
loop_
_atom_site_label
_atom_site_type_symbol
_atom_site_fract_x
_atom_site_fract_y
_atom_site_fract_z
Ta1 Ta 0.000 0.500 0.000
Sn1 Sn 0.000 0.000 0.500
P1 P 0.500 0.500 0.500
Pb1 Pb 0.500 0.500 0.000


(6)
# CdAg2Sb (SCAN, PBEsol geometry)
# Raw formation energy in eV per atom: 0.07
# Density in g/cm³: 9.49
# Total moment in Bohr magnetons per cell: 0.0
# DOS at the Fermi energy in states/eV/cell: 2.62
data_CdAg2Sb
_chemical_formula_sum 'Cd2 Ag4 Sb2'
_symmetry_space_group_name_H-M 'I 4/m m m'
_symmetry_Int_Tables_number 139
_symmetry_space_group_name_Hall '-I 4 2'
_cell_length_a 4.296
_cell_length_b 4.296
_cell_length_c 8.536
_cell_angle_alpha 90.00
_cell_angle_beta 90.00
_cell_angle_gamma 90.00
loop_
_atom_site_label
_atom_site_type_symbol
_atom_site_fract_x
_atom_site_fract_y
_atom_site_fract_z
Cd1 Cd 0.000 0.000 0.000
Ag1 Ag 0.000 0.500 0.250
Sb1 Sb 0.000 0.000 0.500


(7)
# DySi3Rh5 (SCAN, PBEsol geometry)
# Raw formation energy in eV per atom: -1.10
# Density in g/cm³: 9.65
# Total moment in Bohr magnetons per cell: 0.0
# DOS at the Fermi energy in states/eV/cell: 20.29
data_DySi3Rh5
_chemical_formula_sum 'Dy6 Si18 Rh30'
_symmetry_space_group_name_H-M 'P 63/m'
_symmetry_Int_Tables_number 176
_symmetry_space_group_name_Hall '-P 6c'
_cell_length_a 15.3931
_cell_length_b 15.3931
_cell_length_c 3.8296
_cell_angle_alpha 90.00
_cell_angle_beta 90.00
_cell_angle_gamma 120.00
loop_
_atom_site_label
_atom_site_type_symbol
_atom_site_fract_x
_atom_site_fract_y
_atom_site_fract_z
Dy1 Dy 0.1002 0.3945 0.2500
Si1 Si 0.0609 0.6299 0.2500
Si2 Si 0.1183 0.2501 0.7500
Si3 Si 0.2395 0.5581 0.7500
Rh1 Rh 0.0271 0.1372 0.2500
Rh2 Rh 0.0454 0.7755 0.2500
Rh3 Rh 0.0750 0.5370 0.7500
Rh4 Rh 0.1528 0.7390 0.7500
Rh5 Rh 0.2234 0.6527 0.2500


(8)
# K2RbSb2 (SCAN, PBEsol geometry)
# Raw formation energy in eV per atom: -0.43
# Density in g/cm³: 3.31
# Total moment in Bohr magnetons per cell: 0.0
# DOS at the Fermi energy in states/eV/cell: 9.00
data_K2RbSb2
_chemical_formula_sum 'K4 Rb2 Sb4'
_symmetry_space_group_name_H-M 'P 4/m b m'
_symmetry_Int_Tables_number 127
_symmetry_space_group_name_Hall '-P 4 2ab'
_cell_length_a 9.137
_cell_length_b 9.137
_cell_length_c 4.900
_cell_angle_alpha 90.00
_cell_angle_beta 90.00
_cell_angle_gamma 90.00
loop_
_atom_site_label
_atom_site_type_symbol
_atom_site_fract_x
_atom_site_fract_y
_atom_site_fract_z
K1 K 0.172 0.328 0.000
Rb1 Rb 0.000 0.000 0.500
Sb1 Sb 0.108 0.608 0.500